1.
# Na3HfBi2Se6 (GGA-PBE, relaxed)
data_Na3HfBi2Se6
_chemical_formula_sum 'Na6 Hf2 Bi4 Se12'
_symmetry_space_group_name_H-M 'C 1 2/m 1'
_symmetry_Int_Tables_number 12
_symmetry_space_group_name_Hall '-C 2y'
_cell_length_a 7.3166
_cell_length_b 12.7993
_cell_length_c 7.2896
_cell_angle_alpha 90.00
_cell_angle_beta 109.92
_cell_angle_gamma 90.00
loop_
_atom_site_label
_atom_site_type_symbol
_atom_site_fract_x
_atom_site_fract_y
_atom_site_fract_z
Na1 Na 0.0000 0.0000 0.0000
Na2 Na 0.0000 0.3247 0.0000
Hf1 Hf 0.0000 0.5000 0.5000
Bi1 Bi 0.0000 0.1648 0.5000
Se1 Se 0.2283 0.3478 0.7261
Se2 Se 0.2280 0.5000 0.2740
# Fermi-level density of states ... 0.472 states/eV per atom
# Crystal system ... monoclinic
# ΔE_f (raw) ... -874 meV/atom

2.
# Ta3Mn7Cr2 (GGA-PBE, relaxed)
data_Ta3Mn7Cr2
_chemical_formula_sum 'Ta9 Mn21 Cr6'
_symmetry_space_group_name_H-M 'R -3 m'
_symmetry_Int_Tables_number 166
_symmetry_space_group_name_Hall '-R 3 2"'
_cell_length_a 4.7738
_cell_length_b 4.7738
_cell_length_c 23.6068
_cell_angle_alpha 90.00
_cell_angle_beta 90.00
_cell_angle_gamma 120.00
loop_
_atom_site_label
_atom_site_type_symbol
_atom_site_fract_x
_atom_site_fract_y
_atom_site_fract_z
Ta1 Ta 0.0000 0.0000 0.0000
Ta2 Ta 0.0000 0.0000 0.1414
Mn1 Mn 0.0000 0.0000 0.5000
Mn2 Mn 0.0111 0.5055 0.9153
Cr1 Cr 0.0000 0.0000 0.3364
# ΔE_f ... -0.067 eV per atom
# Fermi-level density of states ... 1.478 states/eV per atom
# Crystal system ... trigonal

3.
# MoOsPb2Se (GGA-PBE, relaxed)
data_MoOsPb2Se
_chemical_formula_sum 'Mo1 Os1 Pb2 Se1'
_symmetry_space_group_name_H-M 'P 1 m 1'
_symmetry_Int_Tables_number 6
_symmetry_space_group_name_Hall 'P -2y'
_cell_length_a 5.8416
_cell_length_b 3.4854
_cell_length_c 6.0482
_cell_angle_alpha 90.00
_cell_angle_beta 106.27
_cell_angle_gamma 90.00
loop_
_atom_site_label
_atom_site_type_symbol
_atom_site_fract_x
_atom_site_fract_y
_atom_site_fract_z
Mo1 Mo 0.0000 0.0000 0.0000
Os1 Os 0.7802 0.5000 0.1390
Pb1 Pb 0.0949 0.0000 0.5120
Pb2 Pb 0.6317 0.5000 0.6233
Se1 Se 0.3442 0.5000 0.0629
# ΔE to the lowest computed polymorph ... 23 meV per atom
# Fermi-level density of states ... 0.667 states/eV per atom
# Crystal system ... monoclinic
# ΔE_f (raw) ... 329 meV/atom

4.
# Sr4Pt4PbO11 (GGA-PBE, relaxed)
data_Sr4Pt4PbO11
_chemical_formula_sum 'Sr8 Pt8 Pb2 O22'
_symmetry_space_group_name_H-M 'P -1'
_symmetry_Int_Tables_number 2
_symmetry_space_group_name_Hall '-P 1'
_cell_length_a 5.7623
_cell_length_b 10.1267
_cell_length_c 10.2359
_cell_angle_alpha 89.49
_cell_angle_beta 89.66
_cell_angle_gamma 89.91
loop_
_atom_site_label
_atom_site_type_symbol
_atom_site_fract_x
_atom_site_fract_y
_atom_site_fract_z
Sr1 Sr 0.2476 0.0332 0.1049
Sr2 Sr 0.2480 0.3827 0.0126
Sr3 Sr 0.2501 0.1241 0.4517
Sr4 Sr 0.2508 0.4664 0.3723
Pt1 Pt 0.2494 0.1233 0.7755
Pt2 Pt 0.2490 0.3706 0.6812
Pt3 Pt 0.2499 0.7972 0.3943
Pt4 Pt 0.2516 0.7066 0.1483
Pb1 Pb 0.2875 0.7444 0.7745
O1 O 0.0030 0.3318 0.5421
O2 O 0.0037 0.5679 0.1930
O3 O 0.0084 0.9388 0.3499
O4 O 0.0113 0.1721 0.9143
O5 O 0.2452 0.9455 0.8668
O6 O 0.2536 0.6308 0.9667
O7 O 0.3200 0.2519 0.2338
O8 O 0.4884 0.1696 0.9130
O9 O 0.4944 0.9378 0.3526
O10 O 0.4982 0.4305 0.8070
O11 O 0.4995 0.3328 0.5429
# Fermi-level density of states ... 0.012 states/eV per atom
# Crystal system ... triclinic
# ΔE_f (raw) ... -1583 meV/atom

5.
# Ca4ScGa5 (GGA-PBE, relaxed)
data_Ca4ScGa5
_chemical_formula_sum 'Ca4 Sc1 Ga5'
_symmetry_space_group_name_H-M 'P 4/m m m'
_symmetry_Int_Tables_number 123
_symmetry_space_group_name_Hall '-P 4 2'
_cell_length_a 3.6015
_cell_length_b 3.6015
_cell_length_c 18.0644
_cell_angle_alpha 90.00
_cell_angle_beta 90.00
_cell_angle_gamma 90.00
loop_
_atom_site_label
_atom_site_type_symbol
_atom_site_fract_x
_atom_site_fract_y
_atom_site_fract_z
Ca1 Ca 0.0000 0.0000 0.1033
Ca2 Ca 0.0000 0.0000 0.3083
Sc1 Sc 0.0000 0.0000 0.5000
Ga1 Ga 0.5000 0.5000 0.0000
Ga2 Ga 0.5000 0.5000 0.2052
Ga3 Ga 0.5000 0.5000 0.4170
# ΔE_f ... -0.462 eV per atom
# Fermi-level density of states ... 0.577 states/eV per atom
# Crystal system ... tetragonal

6.
# HfHgPd3 (GGA-PBE, relaxed)
data_HfHgPd3
_chemical_formula_sum 'Hf2 Hg2 Pd6'
_symmetry_space_group_name_H-M 'P m m n'
_symmetry_Int_Tables_number 59
_cell_length_a 4.4067
_cell_length_b 5.6042
_cell_length_c 7.7267
_cell_angle_alpha 90.00
_cell_angle_beta 90.00
_cell_angle_gamma 90.00
loop_
_symmetry_equiv_pos_as_xyz
'x,y,z'
'-x,-y,-z'
'-x+1/2,-y+1/2,z'
'x+1/2,y+1/2,-z'
'x+1/2,-y,-z'
'-x+1/2,y,z'
'-x,y+1/2,-z'
'x,-y+1/2,z'
loop_
_atom_site_label
_atom_site_type_symbol
_atom_site_fract_x
_atom_site_fract_y
_atom_site_fract_z
Hf1 Hf 0.2500 0.2500 0.1113
Hg1 Hg 0.2500 0.7500 0.4546
Pd1 Pd 0.2500 0.9999 0.7691
Pd2 Pd 0.2500 0.7500 0.0972
# ΔE_f ... -0.501 eV per atom
# ΔE to the lowest computed polymorph ... 0 meV per atom
# Fermi-level density of states ... 0.361 states/eV per atom
# Crystal system ... orthorhombic

7.
# Er2FeB6 (GGA-PBE, relaxed)
data_Er2FeB6
_chemical_formula_sum 'Er4 Fe2 B12'
_symmetry_space_group_name_H-M 'I m m m'
_symmetry_Int_Tables_number 71
_symmetry_space_group_name_Hall '-I 2 2'
_cell_length_a 3.3457
_cell_length_b 5.3688
_cell_length_c 11.5590
_cell_angle_alpha 90.00
_cell_angle_beta 90.00
_cell_angle_gamma 90.00
loop_
_atom_site_label
_atom_site_type_symbol
_atom_site_fract_x
_atom_site_fract_y
_atom_site_fract_z
Er1 Er 0.0000 0.0000 0.1627
Fe1 Fe 0.0000 0.5000 0.0000
B1 B 0.0000 0.1471 0.3830
B2 B 0.0000 0.3340 0.5000
# ΔE_f ... -0.278 eV per atom
# Fermi-level density of states ... 0.392 states/eV per atom
# Crystal system ... orthorhombic

8.
# SrPWS2 (GGA-PBE, relaxed)
data_SrPWS2
_chemical_formula_sum 'Sr1 P1 W1 S2'
_symmetry_space_group_name_H-M 'P 4/m m m'
_symmetry_Int_Tables_number 123
_symmetry_space_group_name_Hall '-P 4 2'
_cell_length_a 5.2303
_cell_length_b 5.2303
_cell_length_c 5.2182
_cell_angle_alpha 90.00
_cell_angle_beta 90.00
_cell_angle_gamma 90.00
loop_
_atom_site_label
_atom_site_type_symbol
_atom_site_fract_x
_atom_site_fract_y
_atom_site_fract_z
Sr1 Sr 0.0000 0.0000 0.0000
P1 P 0.0000 0.0000 0.5000
W1 W 0.5000 0.5000 0.5000
S1 S 0.0000 0.5000 0.0000
# ΔE to the lowest computed polymorph ... 2581 meV per atom
# Fermi-level density of states ... 1.868 states/eV per atom
# Crystal system ... tetragonal
# ΔE_f (raw) ... 1936 meV/atom